This record from Alexandria describes a geometry-optimized TmThH structure. The functional is PBE.

Magnetization in μB per cell: 0.000
Uncorrected energy in eV/cell: -15.774
Energy relative to the lowest polymorph listed for this composition in eV/f.u.: 0.00
D(E_F) in states/eV/cell: 2.53

CIF file:
```
data_TmThH
_space_group_name_H-M_alt 'P 3 m 1'
_space_group_IT_number 156
_space_group_name_Hall 'P 3 -2"'
_cell_length_a 3.5633
_cell_length_b 3.5633
_cell_length_c 5.8051
_cell_angle_alpha 90.00
_cell_angle_beta 90.00
_cell_angle_gamma 120.00
loop_
_atom_site_label
_atom_site_type_symbol
_atom_site_fract_x
_atom_site_fract_y
_atom_site_fract_z
Tm1 Tm 0.0000 0.0000 0.0000
Th1 Th 0.3333 0.6667 0.4999
H1 H 0.6667 0.3333 0.2295
```